No. 1
VASP calculation (PBE-GGA) on an optimized crystal structure of AcPrGdTl. Values from VASP.

```
&SYSTEM
  ibrav = 0, nat = 4, ntyp = 4
/
ATOMIC_SPECIES
Tl 204.38 Tl.upf
Gd 157.25 Gd.upf
Ac 227.00 Ac.upf
Pr 140.91 Pr.upf
ATOMIC_POSITIONS crystal
Tl 0.000 0.000 0.000
Gd 0.500 0.500 0.500
Ac 0.750 0.750 0.750
Pr 0.250 0.250 0.250
CELL_PARAMETERS angstrom
5.761 0.000 0.000
2.880 4.989 0.000
2.880 1.663 4.704
```

Calculated values
**Total energy**: -25.6 eV for the cell shown
**Symmetry**: No. 216


No. 2
VASP calculation (PBE-GGA) on an optimized crystal structure of AcGdPt4. Values from VASP.

```
&SYSTEM
  ibrav = 0, nat = 6, ntyp = 3
/
ATOMIC_SPECIES
Pt 195.08 Pt.upf
Ac 227.00 Ac.upf
Gd 157.25 Gd.upf
ATOMIC_POSITIONS crystal
Pt 0.625 0.625 0.126
Pt 0.625 0.126 0.625
Ac 0.000 0.000 0.000
Pt 0.126 0.625 0.625
Gd 0.250 0.250 0.250
Pt 0.625 0.625 0.625
CELL_PARAMETERS angstrom
5.558 0.000 0.000
2.779 4.813 0.000
2.779 1.604 4.538
```

Calculated values
**Total energy**: -48.6 eV for the cell shown
**Symmetry**: No. 216


No. 3
VASP calculation (PBE-GGA) on an optimized crystal structure of AcGdPt2. Values from VASP.

```
&SYSTEM
  ibrav = 0, nat = 4, ntyp = 3
/
ATOMIC_SPECIES
Pt 195.08 Pt.upf
Ac 227.00 Ac.upf
Gd 157.25 Gd.upf
ATOMIC_POSITIONS crystal
Pt 0.750 0.750 0.750
Ac 0.500 0.500 0.500
Pt 0.250 0.250 0.250
Gd 0.000 0.000 0.000
CELL_PARAMETERS angstrom
5.178 0.000 0.000
2.589 4.484 0.000
2.589 1.495 4.228
```

Calculated values
**Total energy**: -34.4 eV for the cell shown
**Symmetry**: No. 225


No. 4
VASP calculation (PBE-GGA) on an optimized crystal structure of AcGdPt2. Values from VASP.

```
&SYSTEM
  ibrav = 0, nat = 4, ntyp = 3
/
ATOMIC_SPECIES
Pt 195.08 Pt.upf
Ac 227.00 Ac.upf
Gd 157.25 Gd.upf
ATOMIC_POSITIONS crystal
Pt 0.257 0.257 0.230
Ac 0.500 0.500 0.500
Pt 0.743 0.743 0.770
Gd 0.000 0.000 0.000
CELL_PARAMETERS angstrom
-3.346 -1.792 -1.954
-0.383 -4.251 -0.110
-4.766 -1.849 5.192
```

Calculated values
**Total energy**: -34.8 eV for the cell shown
**Symmetry**: No. 166


No. 5
VASP calculation (PBE-GGA) on an optimized crystal structure of AcGdPt2. Values from VASP.

```
&SYSTEM
  ibrav = 0, nat = 4, ntyp = 3
/
ATOMIC_SPECIES
Pt 195.08 Pt.upf
Gd 157.25 Gd.upf
Ac 227.00 Ac.upf
ATOMIC_POSITIONS crystal
Pt 0.000 0.000 0.721
Gd 0.500 0.500 0.500
Pt 0.000 0.000 0.279
Ac 0.500 0.500 0.000
CELL_PARAMETERS angstrom
-0.819 0.097 3.560
-3.196 -1.632 -0.690
3.140 -6.532 0.900
```

Calculated values
**Total energy**: -34.6 eV for the cell shown
**Symmetry**: No. 123


No. 6
VASP calculation (PBE-GGA) on an optimized crystal structure of Ac3GdPt. Values from VASP.

```
&SYSTEM
  ibrav = 0, nat = 5, ntyp = 3
/
ATOMIC_SPECIES
Ac 227.00 Ac.upf
Pt 195.08 Pt.upf
Gd 157.25 Gd.upf
ATOMIC_POSITIONS crystal
Ac 0.500 0.000 0.000
Pt 0.000 0.000 0.000
Gd 0.500 0.500 0.500
Ac 0.000 0.000 0.500
Ac 0.000 0.500 0.000
CELL_PARAMETERS angstrom
5.963 0.000 0.000
0.000 5.963 0.000
0.000 0.000 5.963
```

Calculated values
**Total energy**: -34.0 eV for the cell shown
**Symmetry**: No. 221


No. 7
VASP calculation (PBE-GGA) on an optimized crystal structure of AcGd3Pt. Values from VASP.

```
&SYSTEM
  ibrav = 0, nat = 5, ntyp = 3
/
ATOMIC_SPECIES
Gd 157.25 Gd.upf
Pt 195.08 Pt.upf
Ac 227.00 Ac.upf
ATOMIC_POSITIONS crystal
Gd 0.000 0.500 0.000
Gd 0.000 0.000 0.500
Gd 0.500 0.000 0.000
Pt 0.000 0.000 0.000
Ac 0.500 0.500 0.500
CELL_PARAMETERS angstrom
5.597 0.000 0.000
0.000 5.597 0.000
0.000 0.000 5.597
```

Calculated values
**Total energy**: -54.4 eV for the cell shown
**Symmetry**: No. 221


No. 8
VASP calculation (PBE-GGA) on an optimized crystal structure of AcGdPtRh. Values from VASP.

```
&SYSTEM
  ibrav = 0, nat = 4, ntyp = 4
/
ATOMIC_SPECIES
Ac 227.00 Ac.upf
Pt 195.08 Pt.upf
Rh 102.91 Rh.upf
Gd 157.25 Gd.upf
ATOMIC_POSITIONS crystal
Ac 0.500 0.500 0.500
Pt 0.750 0.750 0.750
Rh 0.250 0.250 0.250
Gd 0.000 0.000 0.000
CELL_PARAMETERS angstrom
5.125 0.000 0.000
2.562 4.438 0.000
2.562 1.479 4.185
```

Calculated values
**Total energy**: -34.9 eV for the cell shown
**Symmetry**: No. 216


No. 9
VASP calculation (PBE-GGA) on an optimized crystal structure of AcGdRuPt. Values from VASP.

```
&SYSTEM
  ibrav = 0, nat = 4, ntyp = 4
/
ATOMIC_SPECIES
Ac 227.00 Ac.upf
Gd 157.25 Gd.upf
Ru 101.07 Ru.upf
Pt 195.08 Pt.upf
ATOMIC_POSITIONS crystal
Ac 0.500 0.500 0.500
Gd 0.000 0.000 0.000
Ru 0.750 0.750 0.750
Pt 0.250 0.250 0.250
CELL_PARAMETERS angstrom
-2.130 -4.588 -0.687
1.622 -4.001 2.724
-2.985 -1.997 3.628
```

Calculated values
**Total energy**: -35.6 eV for the cell shown
**Symmetry**: No. 216


No. 10
VASP calculation (PBE-GGA) on an optimized crystal structure of AcGdSiPt. Values from VASP.

```
&SYSTEM
  ibrav = 0, nat = 4, ntyp = 4
/
ATOMIC_SPECIES
Si 28.09 Si.upf
Ac 227.00 Ac.upf
Gd 157.25 Gd.upf
Pt 195.08 Pt.upf
ATOMIC_POSITIONS crystal
Si 0.250 0.250 0.250
Ac 0.500 0.500 0.500
Gd 0.000 0.000 0.000
Pt 0.750 0.750 0.750
CELL_PARAMETERS angstrom
-3.606 -2.463 -2.879
0.331 -5.166 -0.747
-3.440 -3.201 2.297
```

Calculated values
**Total energy**: -32.5 eV for the cell shown
**Symmetry**: No. 216
**Energy relative to the elements, uncorrected**: -0.71 eV per atom


No. 11
VASP calculation (PBE-GGA) on an optimized crystal structure of AcGdSnPt. Values from VASP.

```
&SYSTEM
  ibrav = 0, nat = 4, ntyp = 4
/
ATOMIC_SPECIES
Pt 195.08 Pt.upf
Ac 227.00 Ac.upf
Sn 118.71 Sn.upf
Gd 157.25 Gd.upf
ATOMIC_POSITIONS crystal
Pt 0.250 0.250 0.250
Ac 0.000 0.000 0.000
Sn 0.750 0.750 0.750
Gd 0.500 0.500 0.500
CELL_PARAMETERS angstrom
5.409 0.000 0.000
2.704 4.684 0.000
2.704 1.561 4.416
```

Calculated values
**Total energy**: -31.2 eV for the cell shown
**Symmetry**: No. 216


No. 12
VASP calculation (PBE-GGA) on an optimized crystal structure of Ac2GdPu. Values from VASP.

```
&SYSTEM
  ibrav = 0, nat = 4, ntyp = 3
/
ATOMIC_SPECIES
Ac 227.00 Ac.upf
Pu 244.00 Pu.upf
Gd 157.25 Gd.upf
ATOMIC_POSITIONS crystal
Ac 0.000 0.500 0.000
Ac 0.000 0.000 0.500
Pu 0.500 0.500 0.500
Gd 0.500 0.000 0.000
CELL_PARAMETERS angstrom
5.133 0.000 0.000
0.000 5.370 0.000
0.000 0.000 5.370
```

Calculated values
**Total energy**: -35.9 eV for the cell shown
**Symmetry**: No. 123